A crystal of CoH2Rh2 relaxed with PBEsol. Source: Alexandria via LeMat-Bulk, functional SCAN.

Output
- total magnetization (μB per formula unit) = 3.25
- E (eV/atom) = -18.30

Cell: 5.9590 5.9590 5.9590 Å, 152.84 152.84 38.79°
Last column: nearest neighbours and their distance in Å.
Positions (direct):
Co: 0.0000 0.0000 0.0000  8 Rh 2.56, 4 Co 2.80
H: 0.2500 0.7500 0.5000  4 Rh 1.83, 4 H 1.98
H: 0.7500 0.2500 0.5000  4 Rh 1.83, 4 H 1.98
Rh: 0.3556 0.3556 0.0000  4 H 1.83
Rh: 0.6444 0.6444 0.0000  4 H 1.83